# 1
# Sc2AlAg2

An optimized crystal structure of Sc2AlAg2 (PBE, the Alexandria database).

The structure in POSCAR format:
```
Sc2AlAg2
1.0
2.221 -7.055 0.000
2.221 7.055 0.000
0.000 0.000 3.130
Sc Al Ag
2 1 2
direct
0.111 0.889 0.000
0.889 0.111 0.000
0.500 0.500 0.500
0.307 0.693 0.500
0.693 0.307 0.500
```

- Crystal system: orthorhombic
- Excess energy over the best structure of this formula in the dataset: 0.0 meV per atom
- SG: No. 65
- Energy of formation: -0.283 eV per atom

---

# 2
# Sr2AlBr

An optimized crystal structure of Sr2AlBr (PBE, the Alexandria database).

The structure in POSCAR format:
```
Sr2AlBr
1.0
2.178 1.257 8.641
-2.178 1.257 8.641
0.000 -2.515 8.641
Sr Al Br
2 1 1
direct
0.248 0.248 0.248
0.752 0.752 0.752
0.500 0.500 0.500
0.000 0.000 0.000
```

- Crystal system: trigonal
- Excess energy over the best structure of this formula in the dataset: 33.7 meV per atom
- SG: No. 166

---

# 3
# Ba8AgAs3Br4

An optimized crystal structure of Ba8AgAs3Br4 (PBE, the Alexandria database).

The structure in POSCAR format:
```
Ba8AgAs3Br4
1.0
4.797 2.770 8.006
-4.797 2.770 8.006
0.000 -5.539 8.006
Ba Ag As Br
8 1 3 4
direct
0.232 0.746 0.746
0.240 0.240 0.240
0.254 0.254 0.768
0.254 0.768 0.254
0.746 0.232 0.746
0.746 0.746 0.232
0.760 0.760 0.760
0.768 0.254 0.254
0.500 0.500 0.500
0.000 0.000 0.500
0.000 0.500 0.000
0.500 0.000 0.000
0.000 0.000 0.000
0.000 0.500 0.500
0.500 0.000 0.500
0.500 0.500 0.000
```

- Crystal system: trigonal
- SG: No. 166
- Calculated total energy: -3.83 eV/atom

---

# 4
# DyTiTlAg

An optimized crystal structure of DyTiTlAg (PBE, the Alexandria database).

The structure in POSCAR format:
```
DyTiTlAg
1.0
0.000 3.552 3.552
3.552 0.000 3.552
3.552 3.552 0.000
Dy Ti Tl Ag
1 1 1 1
direct
0.000 0.000 0.000
0.500 0.500 0.500
0.750 0.750 0.750
0.250 0.250 0.250
```

- Crystal system: cubic
- SG: No. 216
- Energy of formation: -0.056 eV per atom

---

# 5
# Ba2LaIn

An optimized crystal structure of Ba2LaIn (PBE, the Alexandria database).

The structure in POSCAR format:
```
Ba2LaIn
1.0
0.000 4.310 4.310
4.310 0.000 4.310
4.310 4.310 0.000
Ba La In
2 1 1
direct
0.000 0.000 0.000
0.250 0.250 0.250
0.750 0.750 0.750
0.500 0.500 0.500
```

- Crystal system: cubic
- SG: No. 216
- Energy of formation: -0.028 eV per atom

---

# 6
# Ba2CoHgSe

An optimized crystal structure of Ba2CoHgSe (PBE, the Alexandria database).

The structure in POSCAR format:
```
Ba2CoHgSe
1.0
6.339 0.000 0.000
0.000 6.339 0.000
0.000 0.000 4.783
Ba Co Hg Se
2 1 1 1
direct
0.000 0.500 0.000
0.500 0.000 0.000
0.000 0.000 0.500
0.000 0.000 0.000
0.500 0.500 0.500
```

- Crystal system: tetragonal
- SG: No. 123
- Calculated total energy: -3.08 eV/atom

---

Which formula does entry 1 have?
Sc2AlAg2